First-principles (PBE) data for a relaxed AcScAg2Sn2 crystal, as listed in the Alexandria database.

Geometry as POSCAR:
```
AcScAg2Sn2
1.0
4.7543 0.0000 0.0000
-2.3772 4.1174 0.0000
0.0000 0.0000 7.7817
Ac Sc Ag Sn
1 1 2 2
Direct
0.0000 0.0000 0.0000 Ac
0.0000 0.0000 0.5000 Sc
0.3333 0.6667 0.6661 Ag
0.6667 0.3333 0.3339 Ag
0.3333 0.6667 0.2702 Sn
0.6667 0.3333 0.7298 Sn
```

## Properties
Total moment = 0.00 μB per formula unit
DFT total energy = -4.5628 eV per atom
Symmetry = P-3m1, No. 164

---

First-principles (PBE) data for a relaxed TaTlCo2 crystal, as listed in the Alexandria database.

Geometry as POSCAR:
```
TaTlCo2
1.0
4.3778 0.0000 0.0000
0.0000 4.3778 0.0000
0.0000 0.0000 3.1638
Ta Tl Co
1 1 2
Direct
0.0000 0.0000 0.0000 Ta
0.5000 0.5000 0.0000 Tl
0.0000 0.5000 0.5000 Co
0.5000 0.0000 0.5000 Co
```

## Properties
E above lowest polymorph = 19.1 kJ per mole of atoms
Total moment = 1.81 μB per formula unit
DFT total energy = -6.8030 eV per atom
Symmetry = P4/mmm, No. 123